Record 1
12
Lattice="4.197 0.000 0.000 0.000 7.813 -0.992 0.000 -3.162 10.591" Properties=species:S:1:pos:R:3 comment="In3SnHgPb PBE relaxed" density_g_cm3=8.7 e_tot_ev_per_cell=-32.139 spacegroup="P2_1/m, No. 11" dos_ef_per_ev_atom=0.4036 ef_kj_per_mol_atoms=2.6 pbc="T T T"
Pb 3.148 4.525 6.705
Pb 1.049 0.125 2.895
In 1.049 2.082 7.851
In 3.148 2.569 1.748
In 1.049 -1.985 10.086
In 3.148 1.238 5.383
In 3.148 6.636 -0.487
In 1.049 3.413 4.216
Sn 3.148 5.693 3.226
Sn 1.049 -1.043 6.374
Hg 3.148 0.027 8.910
Hg 1.049 4.623 0.690

Record 2
12
Lattice="-2.199 3.078 -3.636 3.108 -3.342 -4.708 -7.554 -6.140 -0.629" Properties=species:S:1:pos:R:3 comment="InSnHg2Pb2 PBE relaxed" density_g_cm3=10.4 e_tot_ev_per_cell=-29.145 spacegroup="Pmc2_1, No. 26" dos_ef_per_ev_atom=0.3563 ef_kj_per_mol_atoms=3.0 pbc="T T T"
Hg -3.887 -4.567 -5.300
Hg 1.591 -3.751 -4.137
Hg -3.353 -1.198 -2.772
Hg -5.356 -6.463 -2.231
In -0.668 -5.865 -4.560
In -2.803 -4.666 -2.254
Pb -6.588 -6.445 -5.257
Pb -0.363 -2.464 -1.866
Pb -0.987 1.041 -2.308
Pb -3.340 -7.818 -4.597
Sn -1.468 -2.604 -5.102
Sn -5.769 -3.165 -2.976

Record 3
12
Lattice="3.399 0.000 0.000 0.000 10.315 1.500 0.000 -3.361 8.975" Properties=species:S:1:pos:R:3 comment="InSnHg3Pb PBE relaxed" density_g_cm3=10.4 e_tot_ev_per_cell=-22.309 spacegroup="P2_1/m, No. 11" dos_ef_per_ev_atom=0.3437 ef_kj_per_mol_atoms=3.2 pbc="T T T"
Hg 2.549 8.916 1.758
Hg 2.549 2.110 5.391
Hg 0.850 4.844 5.084
Hg 0.850 3.589 8.084
Hg 2.549 3.365 2.391
Hg 0.850 -1.963 8.717
Pb 0.850 0.440 2.779
Pb 2.549 6.514 7.696
In 0.850 6.127 2.144
In 2.549 0.827 8.330
Sn 2.549 7.847 4.733
Sn 0.850 -0.893 5.742